[1]
First-principles (PBEsol) data for a geometry-optimized CaCoBr2 structure, as listed in the Alexandria database.

Output
- E_form (uncorrected) (eV per atom) = -0.53
- distance to the lowest polymorph of the same formula (meV per atom) = 119
- calculated volume (Å³/atom) = 22.4
- SG = P4mm (99)
- crystal system = tetragonal

Cell and atoms, written as POSCAR:
```
CaCoBr2
1.0
-2.624 2.174 0.816
0.382 -0.811 3.387
4.773 5.472 0.772
Ca Co Br
1 1 2
direct
0.000 0.000 0.508
0.500 0.500 0.807
0.000 0.000 0.893
0.500 0.500 0.292
```

[2]
First-principles (PBEsol) data for a geometry-optimized Ca2CoBr structure, as listed in the Alexandria database.

Output
- E_form (uncorrected) (eV per atom) = -0.28
- distance to the lowest polymorph of the same formula (meV per atom) = 6
- calculated volume (Å³/atom) = 21.7
- SG = P4/mmm (123)
- crystal system = tetragonal

Cell and atoms, written as POSCAR:
```
Ca2CoBr
1.0
-0.920 3.223 -0.270
-0.074 -0.446 -5.060
-4.887 -1.379 0.193
Ca Co Br
2 1 1
direct
0.000 0.000 0.000
0.000 0.500 0.500
0.500 0.500 0.000
0.500 0.000 0.500
```

[3]
First-principles (PBEsol) data for a geometry-optimized Ca2CoBr structure, as listed in the Alexandria database.

Output
- E_form (uncorrected) (eV per atom) = -0.29
- distance to the lowest polymorph of the same formula (meV per atom) = 0
- calculated volume (Å³/atom) = 24.4
- SG = P4mm (99)
- crystal system = tetragonal

Cell and atoms, written as POSCAR:
```
Ca2CoBr
1.0
-1.332 2.856 -2.630
0.058 -2.765 -3.031
-5.490 -1.444 1.213
Ca Co Br
2 1 1
direct
0.000 0.000 0.926
0.500 0.500 0.358
0.000 0.000 0.363
0.500 0.500 0.852
```

[4]
First-principles (PBEsol) data for a geometry-optimized CaCoBr structure, as listed in the Alexandria database.

Output
- E_form (uncorrected) (eV per atom) = 0.23
- calculated volume (Å³/atom) = 27.1
- SG = F-43m (216)
- crystal system = cubic

Cell and atoms, written as POSCAR:
```
CaCoBr
1.0
-2.835 -0.721 3.883
-3.201 -3.659 0.026
0.739 -3.856 2.867
Ca Co Br
1 1 1
direct
0.250 0.250 0.250
0.000 0.000 0.000
0.500 0.500 0.500
```

[5]
First-principles (PBEsol) data for a geometry-optimized CaCoSe2Br structure, as listed in the Alexandria database.

Output
- E_form (uncorrected) (eV per atom) = 0.47
- calculated volume (Å³/atom) = 30.5
- SG = P4/mmm (123)
- crystal system = tetragonal

Cell and atoms, written as POSCAR:
```
CaCoSe2Br
1.0
-2.139 -2.930 -3.881
4.509 0.494 -2.857
1.936 -4.445 2.288
Ca Co Se Br
1 1 2 1
direct
0.000 0.000 0.000
0.500 0.500 0.500
0.000 0.000 0.500
0.000 0.500 0.000
0.500 0.000 0.000
```

[6]
First-principles (PBEsol) data for a geometry-optimized CaCrBr2 structure, as listed in the Alexandria database.

Output
- E_form (uncorrected) (eV per atom) = -0.54
- distance to the lowest polymorph of the same formula (meV per atom) = 0
- calculated volume (Å³/atom) = 24.4
- SG = Imm2 (44)
- crystal system = orthorhombic

Cell and atoms, written as POSCAR:
```
CaCrBr2
1.0
4.153 0.000 0.000
0.000 3.675 0.000
-2.077 -1.838 6.393
Cr Ca Br
1 1 2
direct
0.236 0.736 0.473
0.443 0.443 0.886
0.045 0.045 0.089
0.776 0.276 0.552
```

[7]
First-principles (PBEsol) data for a geometry-optimized CaCrBr2 structure, as listed in the Alexandria database.

Output
- E_form (uncorrected) (eV per atom) = -0.45
- distance to the lowest polymorph of the same formula (meV per atom) = 90
- calculated volume (Å³/atom) = 24.1
- SG = P4/mmm (123)
- crystal system = tetragonal

Cell and atoms, written as POSCAR:
```
CaCrBr2
1.0
3.633 0.000 0.000
0.000 3.633 0.000
0.000 0.000 7.315
Cr Ca Br
1 1 2
direct
0.500 0.500 0.500
0.500 0.500 0.000
0.000 0.000 0.770
0.000 0.000 0.230
```

[8]
First-principles (PBEsol) data for a geometry-optimized CaCr2Br structure, as listed in the Alexandria database.

Output
- E_form (uncorrected) (eV per atom) = 0.75
- distance to the lowest polymorph of the same formula (meV per atom) = 182
- calculated volume (Å³/atom) = 24.9
- SG = Cmmm (65)
- crystal system = orthorhombic

Cell and atoms, written as POSCAR:
```
CaCr2Br
1.0
3.437 0.000 0.000
0.000 5.709 0.000
0.000 -2.855 5.075
Cr Ca Br
2 1 1
direct
0.000 0.000 0.500
0.000 0.500 0.500
0.500 0.500 0.000
0.500 0.000 0.000
```